DFT (GGA-PBE) results for a relaxed Na3In12Ga crystal.

extended XYZ file:
```
16
Lattice="-1.557 2.906 3.376 2.218 -2.596 3.257 15.228 10.493 -2.010" Properties=species:S:1:pos:R:3 pbc="T T T"
In 8.750 8.018 0.431
In 14.465 7.905 -0.134
In 2.982 -0.007 1.381
In 6.810 2.630 0.876
In 0.331 0.155 3.316
In 4.137 2.778 2.814
In 4.922 5.381 0.936
In 11.753 8.025 1.809
In 10.637 5.267 0.371
In 12.577 10.655 -0.074
In 1.094 2.743 1.441
In 7.945 5.402 2.312
Na 7.614 5.246 -1.005
Na 11.436 7.880 -1.509
Na 3.793 2.613 -0.500
Ga 0.000 0.000 0.000
```

For the calculated total energy, the calculation gives -2.541 eV/atom. The formation enthalpy at 0 K comes out at -0.81 eV/f.u.

=====

DFT (GGA-PBE) results for a relaxed NaInGa6 crystal.

extended XYZ file:
```
8
Lattice="5.524 0.000 0.000 0.000 5.524 0.000 0.000 0.000 5.524" Properties=species:S:1:pos:R:3 pbc="T T T"
Ga 0.000 2.762 4.126
Ga 1.398 0.000 2.762
Ga 0.000 2.762 1.398
Ga 2.762 1.398 0.000
Ga 4.126 0.000 2.762
Ga 2.762 4.126 0.000
Na 2.762 2.762 2.762
In 0.000 0.000 0.000
```

For the calculated total energy, the calculation gives -2.722 eV/atom. The formation enthalpy at 0 K comes out at 0.45 eV/f.u.

=====

DFT (GGA-PBE) results for a relaxed Na6In2Ga crystal.

extended XYZ file:
```
9
Lattice="-3.510 -1.635 3.958 0.507 -5.037 2.243 5.174 1.527 9.093" Properties=species:S:1:pos:R:3 pbc="T T T"
Na -0.463 -1.897 2.679
Na 2.536 -1.692 9.297
Na 0.570 -4.501 10.266
Na -0.365 -3.454 5.996
Na 2.634 -3.248 12.614
Na 1.600 -0.644 5.027
In 3.556 0.544 7.252
In -1.385 -5.689 8.041
Ga 0.000 0.000 0.000
```

For the energy relative to the lowest polymorph listed for this composition, the calculation gives 0 meV/atom. For the calculated total energy, the calculation gives -1.891 eV/atom. The formation enthalpy at 0 K comes out at -0.60 eV/f.u.

=====

DFT (GGA-PBE) results for a relaxed NaInGa crystal.

extended XYZ file:
```
3
Lattice="4.788 0.000 0.000 2.394 4.147 0.000 2.394 1.382 3.910" Properties=species:S:1:pos:R:3 pbc="T T T"
Ga 2.394 1.382 0.977
In 0.000 0.000 0.000
Na 4.788 2.765 1.955
```

For the energy relative to the lowest polymorph listed for this composition, the calculation gives 90 meV/atom. For the calculated total energy, the calculation gives -2.407 eV/atom. The formation enthalpy at 0 K comes out at -0.14 eV/f.u.

=====

DFT (GGA-PBE) results for a relaxed Na12In3Ga crystal.

extended XYZ file:
```
16
Lattice="5.041 0.000 0.000 0.000 5.041 0.000 0.000 0.000 18.666" Properties=species:S:1:pos:R:3 pbc="T T T"
Na 2.520 0.000 11.715
Na 0.000 2.520 2.201
Na 0.000 2.520 16.465
Na 2.520 2.520 9.333
Na 2.520 2.520 4.572
Na 0.000 2.520 6.951
Na 2.520 0.000 16.465
Na 0.000 2.520 11.715
Na 2.520 2.520 14.094
Na 2.520 0.000 6.951
Na 2.520 2.520 0.000
Na 2.520 0.000 2.201
In 0.000 0.000 9.333
In 0.000 0.000 4.567
In 0.000 0.000 14.099
Ga 0.000 0.000 0.000
```

For the calculated total energy, the calculation gives -1.713 eV/atom. The formation enthalpy at 0 K comes out at -0.34 eV/f.u.

=====

DFT (GGA-PBE) results for a relaxed Na17In11Ga crystal.

extended XYZ file:
```
29
Lattice="9.610 -0.044 -3.386 -4.779 8.338 -3.386 -0.009 -0.015 10.161" Properties=species:S:1:pos:R:3 pbc="T T T"
Na 5.271 2.288 3.705
Na 2.989 -0.009 4.944
Na 4.816 8.268 -3.213
Na -0.610 5.714 3.705
Na 5.679 -0.030 1.169
Na 4.933 3.377 0.313
Na 3.348 -0.002 -1.179
Na -1.653 2.911 -1.179
Na 0.178 4.899 -3.038
Na -1.482 2.595 4.944
Na 0.504 5.956 0.313
Na 4.174 2.571 -3.038
Na 3.284 5.638 -1.796
Na 3.144 5.396 2.213
Na -2.828 4.925 1.169
Na 1.960 3.365 4.543
Na 0.006 0.010 0.003
In -2.119 6.804 -1.491
In 6.964 1.513 -1.491
In 2.154 6.744 5.271
In 6.056 -0.031 6.135
In -3.899 6.805 3.637
In 7.843 -0.035 3.637
In 4.804 5.201 5.271
In 0.922 1.583 7.138
In 2.663 1.536 1.797
In 0.022 3.074 1.797
In -3.014 5.253 6.135
Ga 1.757 3.016 -0.593
```

For the calculated total energy, the calculation gives -2.029 eV/atom. The formation enthalpy at 0 K comes out at -3.25 eV/f.u.

=====

DFT (GGA-PBE) results for a relaxed NaInGa2 crystal.

extended XYZ file:
```
4
Lattice="3.602 0.000 0.000 0.000 3.602 0.000 0.000 0.000 7.292" Properties=species:S:1:pos:R:3 pbc="T T T"
Ga 0.000 0.000 1.615
Ga 0.000 0.000 5.677
Na 1.801 1.801 3.646
In 1.801 1.801 0.000
```

For the calculated total energy, the calculation gives -2.534 eV/atom. The formation enthalpy at 0 K comes out at -0.02 eV/f.u.

=====

DFT (GGA-PBE) results for a relaxed NaNdInGa crystal.

extended XYZ file:
```
4
Lattice="-3.596 -2.950 2.457 1.220 -2.424 4.506 -2.107 1.651 4.528" Properties=species:S:1:pos:R:3 pbc="T T T"
Na -1.121 -0.931 2.873
Nd -3.363 -2.792 8.619
In 0.000 0.000 0.000
Ga -2.242 -1.862 5.746
```

For the calculated total energy, the calculation gives -3.247 eV/atom. The formation enthalpy at 0 K comes out at -1.14 eV/f.u.

=====

What is the formation enthalpy at 0 K in the fourth record? -0.14 eV/f.u.

=====

Please write out number 3 again, unchanged.
DFT (GGA-PBE) results for a relaxed Na6In2Ga crystal.

extended XYZ file:
```
9
Lattice="-3.510 -1.635 3.958 0.507 -5.037 2.243 5.174 1.527 9.093" Properties=species:S:1:pos:R:3 pbc="T T T"
Na -0.463 -1.897 2.679
Na 2.536 -1.692 9.297
Na 0.570 -4.501 10.266
Na -0.365 -3.454 5.996
Na 2.634 -3.248 12.614
Na 1.600 -0.644 5.027
In 3.556 0.544 7.252
In -1.385 -5.689 8.041
Ga 0.000 0.000 0.000
```

For the energy relative to the lowest polymorph listed for this composition, the calculation gives 0 meV/atom. For the calculated total energy, the calculation gives -1.891 eV/atom. The formation enthalpy at 0 K comes out at -0.60 eV/f.u.

=====

The lowest calculated total energy belongs to which entry? NaNdInGa

=====

Which value of calculated total energy does entry 2 give? -2.722 eV/atom